No. 1
TmThZnGe | PBE | optimized geometry

abc: 5.093 5.093 5.093
angles: 60.00 60.00 60.00
Fractional positions:
Tm 0.000 0.000 0.000
Th 0.500 0.500 0.500
Zn 0.750 0.750 0.750
Ge 0.250 0.250 0.250

Output
DFT total energy   -19.5 eV for the cell shown
Mass density   9.58 g/cm3
Spin magnetization   0.00 μB per atom
Symmetry   F-43m (216)

No. 2
K2AgOs | PBE | optimized geometry

abc: 2.826 5.380 5.751
angles: 90.00 90.00 90.00
Fractional positions:
K 0.000 0.000 0.000
K 0.500 0.500 0.000
Ag 0.000 0.500 0.500
Os 0.500 0.000 0.500

Output
DFT total energy   -11.7 eV for the cell shown
Mass density   7.14 g/cm3
Spin magnetization   0.00 μB per atom
Symmetry   Pmmm (47)

Calculated values (states/eV/cell) of N(E_F) for the records, taken in order: 3.61; 0.54.
Calculated values (Å³/f.u.) of volume for the records, taken in order: 93; 87.